A relaxed structure of ZrBeAu2. Source: Alexandria via LeMat-Bulk, functional PBE.

Calculated values
Calculated formation energy, kJ/mol of atoms: -9.1
Magnetic moment, μB per atom: 0.000

abc: 3.1170 3.1170 24.5406
angles: 90.00 90.00 120.00
Last column: nearest neighbours and their distance in Å.
Space group R-3m (No. 166, hexagonal axes)
Asymmetric unit:
Zr: 0.0000 0.0000 0.0000  6 Au 3.05, 6 Zr 3.12
Be: 0.0000 0.0000 0.5000  6 Au 2.43
Au: 0.0000 0.0000 0.2331  3 Be 2.43

A relaxed structure of ZrBeAu2. Source: Alexandria via LeMat-Bulk, functional PBE.

Calculated values
Calculated formation energy, kJ/mol of atoms: -23.4
Magnetic moment, μB per atom: 0.000

abc: 3.0792 3.0792 7.1022
angles: 90.00 90.00 90.00
Last column: nearest neighbours and their distance in Å.
Space group P4mm (No. 99)
Asymmetric unit:
Zr: 0.0000 0.0000 0.0000  4 Be 2.86, 5 Au 2.97-2.99, 4 Zr 3.08
Be: 0.5000 0.5000 0.7390  4 Au 2.46
Au: 0.0000 0.0000 0.5787  4 Be 2.46
Au: 0.5000 0.5000 0.2842  4 Zr 2.97, 8 Au 3.02-3.08, 1 Be 3.23

A relaxed structure of ZrBe3Au. Source: Alexandria via LeMat-Bulk, functional PBE.

Calculated values
Calculated formation energy, kJ/mol of atoms: 169.0
Magnetic moment, μB per atom: 0.000

abc: 4.5578 4.5578 4.5578
angles: 90.00 90.00 90.00
Last column: nearest neighbours and their distance in Å.
Space group Pm-3m (No. 221)
Asymmetric unit:
Zr: 0.0000 0.0000 0.0000  6 Be 2.28
Be: 0.0000 0.0000 0.5000  2 Zr 2.28
Au: 0.5000 0.5000 0.5000  12 Be 3.22

> Which formula does entry 3 have?

ZrBe3Au

> Which value of magnetic moment does entry 3 give?

0.000 μB per atom